Entry 1:
Entry from the Alexandria database: a relaxed structure of Tb2HoAlN (PBE).

abc: 4.8054 4.8054 4.7468
angles: 90.00 90.00 90.00
Sites, in units of the cell vectors:
1 Tb 0.0000 0.5000 0.0000
2 Tb 0.5000 0.0000 0.0000
3 Ho 0.0000 0.0000 0.5000
4 Al 0.5000 0.5000 0.5000
5 N 0.0000 0.0000 0.0000

Computed properties:
E_form (uncorrected)	-911	meV per atom
electronic total energy	-6.0926	eV per atom



Entry 2:
Entry from the Alexandria database: a relaxed structure of ZnRe3Pb (PBE).

abc: 4.9791 4.9791 4.9791
angles: 90.00 90.00 90.00
Sites, in units of the cell vectors:
1 Zn 0.0000 0.0000 0.0000
2 Re 0.0000 0.5000 0.5000
3 Re 0.5000 0.0000 0.5000
4 Re 0.5000 0.5000 0.0000
5 Pb 0.5000 0.5000 0.5000

Computed properties:
energy of formation from the pure elements	3.2866	eV/atom
electronic total energy	-5.1787	eV per atom
distance to the lowest polymorph of the same formula	1234.1	meV/atom



Entry 3:
Entry from the Alexandria database: a relaxed structure of SmEuCdIr (PBE).

abc: 5.1602 5.1602 5.1602
angles: 60.00 60.00 60.00
Sites, in units of the cell vectors:
1 Sm 0.0000 0.0000 0.0000
2 Eu 0.5000 0.5000 0.5000
3 Cd 0.7500 0.7500 0.7500
4 Ir 0.2500 0.2500 0.2500

Computed properties:
energy of formation from the pure elements	-0.3535	eV/atom
electronic total energy	-6.5459	eV per atom



Entry 4:
Entry from the Alexandria database: a relaxed structure of Hf2ZrAuO (PBE).

abc: 4.3724 4.3724 4.5156
angles: 90.00 90.00 90.00
Sites, in units of the cell vectors:
1 Hf 0.0000 0.5000 0.0000
2 Hf 0.5000 0.0000 0.0000
3 Zr 0.0000 0.0000 0.5000
4 Au 0.5000 0.5000 0.5000
5 O 0.0000 0.0000 0.0000

Computed properties:
E_form (uncorrected)	-1168	meV per atom
electronic total energy	-8.5058	eV per atom